# 1
A plane-wave DFT calculation with PBE was carried out for crystalline K2TaTe at its relaxed geometry.

Magnetic moment in Bohr magnetons per cell: 3.11
Volume in A^3/atom: 33.45
Uncorrected formation energy in eV/atom: 0.6757
N(E_F) in states/eV/atom: 0.43
Crystal system: tetragonal

a b c (Å): 4.779 4.779 5.859
angles (deg): 90.00 90.00 90.00
Sites, in units of the cell vectors:
K (0.000, 0.000, 0.246)
K (0.000, 0.000, 0.754)
Ta (0.500, 0.500, 0.500)
Te (0.500, 0.500, 0.000)

# 2
A plane-wave DFT calculation with PBE was carried out for crystalline KTaTe4 at its relaxed geometry.

Magnetic moment in Bohr magnetons per cell: 0.00
Volume in A^3/atom: 35.37
Uncorrected formation energy in eV/atom: -0.3856
N(E_F) in states/eV/atom: 0.72
Crystal system: monoclinic

a b c (Å): 9.196 9.196 6.057
angles (deg): 93.80 93.80 56.19
Sites, in units of the cell vectors:
K (0.185, 0.185, 0.220)
K (0.815, 0.815, 0.780)
Ta (0.484, 0.484, 0.731)
Ta (0.516, 0.516, 0.269)
Te (0.188, 0.594, 0.393)
Te (0.232, 0.768, 0.000)
Te (0.309, 0.309, 0.746)
Te (0.406, 0.812, 0.607)
Te (0.594, 0.188, 0.393)
Te (0.691, 0.691, 0.254)
Te (0.768, 0.232, 0.000)
Te (0.812, 0.406, 0.607)

# 3
A plane-wave DFT calculation with PBE was carried out for crystalline K3TaTe4 at its relaxed geometry.

Magnetic moment in Bohr magnetons per cell: 0.00
Volume in A^3/atom: 45.85
Uncorrected formation energy in eV/atom: -0.6660
Crystal system: orthorhombic

a b c (Å): 8.068 8.068 8.068
angles (deg): 121.14 88.64 120.44
Sites, in units of the cell vectors:
K (0.000, 0.000, 0.000)
K (0.366, 0.640, 0.726)
K (0.913, 0.640, 0.274)
Ta (0.538, 0.038, 0.500)
Te (0.346, 0.110, 0.763)
Te (0.346, 0.583, 0.237)
Te (0.514, 0.209, 0.304)
Te (0.905, 0.209, 0.696)

# 4
A plane-wave DFT calculation with PBE was carried out for crystalline K2TaTe at its relaxed geometry.

Magnetic moment in Bohr magnetons per cell: 1.55
Volume in A^3/atom: 39.15
Uncorrected formation energy in eV/atom: 0.5750
N(E_F) in states/eV/atom: 0.86
Crystal system: monoclinic

a b c (Å): 3.695 4.801 9.004
angles (deg): 90.00 101.41 90.00
Sites, in units of the cell vectors:
K (0.000, 0.000, 0.000)
K (0.292, 0.500, 0.606)
Ta (0.617, 0.500, 0.241)
Te (0.684, 0.000, 0.382)